[1]
Material: Pm2GaGe3Rh4
Method: DFT, PBE
State: optimized geometry

Summary:
Total magnetic moment, μB/f.u.: 0.0
E_form, eV per atom: -0.8743

Lattice parameters (Å, degrees): 4.2571 4.2571 10.1203 90.00 90.00 90.00
Last column: nearest neighbours and their distance in Å.
Space group P-4m2 (No. 115)
Symmetry-distinct sites (fractional):
Pm: 0.0000 0.5000 0.2475 x2  8 Rh 3.24-3.33, 6 Ge 3.26-3.29, 2 Ga 3.29
Ga: 0.5000 0.5000 0.0000 x1  4 Rh 2.50
Ge: 0.0000 0.0000 0.0000 x1  4 Rh 2.50
Ge: 0.0000 0.5000 0.6298 x2  5 Rh 2.43-2.50
Rh: 0.0000 0.0000 0.5000 x1  4 Ge 2.50
Rh: 0.0000 0.5000 0.8699 x2  3 Ge 2.43-2.50, 2 Ga 2.50
Rh: 0.5000 0.5000 0.5000 x1  4 Ge 2.50


[2]
Material: CeFe12B6
Method: DFT, PBE
State: optimized geometry

Summary:
Total magnetic moment, μB/f.u.: 4.2
E_form, eV per atom: -0.2641

Lattice parameters (Å, degrees): 9.3598 9.3598 7.4676 90.00 90.00 120.00
Last column: nearest neighbours and their distance in Å.
Space group R-3m (No. 166, hexagonal axes)
Symmetry-distinct sites (fractional):
Ce: 0.0000 0.0000 0.0000 x3  6 B 2.99, 18 Fe 3.11-3.22
Fe: 0.0000 0.3680 0.5000 x18  4 B 2.01-2.05
Fe: 0.0913 0.1826 0.3667 x18  3 B 2.10-2.13
B: 0.0323 0.5161 0.2838 x18  7 Fe 2.01-2.13


[3]
Material: BeSn3N
Method: DFT, PBE
State: optimized geometry

Summary:
Total magnetic moment, μB/f.u.: 0.0
E_tot, eV for the cell shown: -19.86

Lattice parameters (Å, degrees): 4.7058 4.7058 4.7058 90.00 90.00 90.00
Last column: nearest neighbours and their distance in Å.
Space group Pm-3m (No. 221)
Symmetry-distinct sites (fractional):
Be: 0.0000 0.0000 0.0000 x1  12 Sn 3.33
Sn: 0.0000 0.5000 0.5000 x3  2 N 2.35
N: 0.5000 0.5000 0.5000 x1  6 Sn 2.35


[4]
Material: InP2Au
Method: DFT, PBE
State: optimized geometry

Summary:
Total magnetic moment, μB/f.u.: 0.0
E_form, eV per atom: 0.0750

Lattice parameters (Å, degrees): 3.4952 3.4952 21.6721 90.00 90.00 120.00
Last column: nearest neighbours and their distance in Å.
Space group R3m (No. 160, hexagonal axes)
Symmetry-distinct sites (fractional):
In: 0.0000 0.0000 0.0000 x3  3 Au 2.85, 3 P 2.95
P: 0.0000 0.0000 0.2341 x3  3 P 2.37
P: 0.0000 0.0000 0.5097 x3  3 P 2.37
Au: 0.0000 0.0000 0.7596 x3  3 P 2.71, 3 In 2.85


[5]
Material: AcPr2NdSm6
Method: DFT, PBE
State: optimized geometry

Summary:
Total magnetic moment, μB/f.u.: 0.0
E_form, eV per atom: 0.1212

Lattice parameters (Å, degrees): 9.3233 15.7230 9.8707 90.00 96.18 90.00
Last column: nearest neighbours and their distance in Å.
Space group C2/c (No. 15)
Symmetry-distinct sites (fractional):
Ac: 0.0000 0.0239 0.2500 x4  4 Pr 3.51-3.57, 4 Sm 3.78-3.91
Pr: 0.2491 0.4411 0.4556 x8  6 Sm 3.37-3.62, 2 Ac 3.51-3.57, 1 Nd 3.75
Nd: 0.0000 0.4084 0.7500 x4  8 Sm 3.53-3.92, 4 Pr 3.75-3.94
Sm: 0.0639 0.1920 0.9435 x8  7 Sm 3.50-3.88, 1 Pr 3.62, 1 Ac 3.91
Sm: 0.1038 0.3949 0.1172 x8  4 Sm 3.33-3.62, 3 Pr 3.37-3.54, 2 Nd 3.53-3.66
Sm: 0.2057 0.2297 0.3150 x8  5 Sm 3.33-3.72, 2 Pr 3.51-3.61, 1 Nd 3.61


[6]
Material: Ac4IrRh
Method: DFT, PBE
State: optimized geometry

Summary:
Total magnetic moment, μB/f.u.: 0.0
E_form, eV per atom: -0.5727

Lattice parameters (Å, degrees): 15.8884 4.3850 7.5860 90.00 118.47 90.00
Last column: nearest neighbours and their distance in Å.
Space group C2/m (No. 12)
Symmetry-distinct sites (fractional):
Ac: 0.1128 0.0000 0.4451 x4  1 Ir 2.97, 2 Rh 2.98
Ac: 0.1125 0.5000 0.9467 x4  2 Ir 2.98, 1 Rh 2.98
Ir: 0.0000 0.0000 0.0000 x2  6 Ac 2.97-2.98
Rh: 0.0000 0.5000 0.5000 x2  6 Ac 2.98